Cs2CaCoO4: relaxed, GGA+U.

Output
Raw total energy   -5.0180 eV/atom
Size of the total moment   0.62 μB/atom
Calculated volume   410 Å³ per cell
Space-group type   Fddd

```
Cs2CaCoO4
1.0
0.000 6.254 11.680
2.804 0.000 11.680
2.804 6.254 0.000
Cs Ca Co O
4 2 2 8
direct
0.055 0.055 0.695 Cs
0.305 0.305 0.945 Cs
0.695 0.695 0.055 Cs
0.945 0.945 0.305 Cs
0.125 0.125 0.125 Ca
0.875 0.875 0.875 Ca
0.375 0.375 0.375 Co
0.625 0.625 0.625 Co
0.048 0.620 0.531 O
0.300 0.531 0.620 O
0.380 0.952 0.700 O
0.469 0.700 0.952 O
0.531 0.300 0.048 O
0.620 0.048 0.300 O
0.700 0.469 0.380 O
0.952 0.380 0.469 O
```